Below is SbAuNO after structural relaxation, with properties calculated at the PBE level.

POSCAR file:
```
SbAuNO
1.0
3.8535 0.0000 0.0000
0.0000 3.8535 0.0000
0.0000 0.0000 7.8545
Sb Au N O
2 2 2 2
Direct
0.2500 0.2500 0.1527
0.7500 0.7500 0.8473
0.2500 0.7500 0.5000
0.7500 0.2500 0.5000
0.2500 0.2500 0.6806
0.7500 0.7500 0.3194
0.2500 0.7500 0.0000
0.7500 0.2500 0.0000
```

Summary:
Excess energy over the best structure of this formula in the dataset, meV/atom: 583
Final energy, eV per cell: -36.9
Crystal system: tetragonal